## KRb2Hg3 (PBE)

Data for a relaxed structure of KRb2Hg3.

## Properties
Total energy, eV for the cell shown: -10.4
D(E_F), states/eV per atom: 0.580
M_tot, μB per cell: 0.0
Energy of formation from the pure elements, meV per atom: -211
ρ, g/cm³: 4.82

Unit cell a=6.2812 b=10.1563 c=10.1313 alpha=120.08 beta=90.00 gamma=90.00
Last column: nearest neighbours and their distance in Å.
Positions (direct):
Rb  0.7500  0.5018  0.3358  6 Hg 3.74-3.80
Rb  0.7500  0.1661  0.6642  6 Hg 3.74-3.80
Rb  0.2500  0.8339  0.3358  6 Hg 3.74-3.80
Rb  0.2500  0.4982  0.6642  6 Hg 3.74-3.80
Hg  0.5000  0.5000  0.0000  2 Hg 3.14
Hg  0.5000  0.1594  0.3189  2 Hg 3.14
Hg  0.0000  0.8406  0.6811  2 Hg 3.14
Hg  0.5000  0.8406  0.6811  2 Hg 3.14
Hg  0.0000  0.5000  0.0000  2 Hg 3.14
Hg  0.0000  0.1594  0.3189  2 Hg 3.14
K  0.2500  0.1697  0.0000  6 Hg 3.64-3.70
K  0.7500  0.8303  0.0000  6 Hg 3.64-3.70